Entry 1:
A plane-wave DFT calculation with meta-GGA SCAN was carried out for CdSb2OsI at its PBEsol-relaxed geometry.

a = 5.0244 Å, b = 5.0244 Å, c = 5.7386 Å
α = 90.00°, β = 90.00°, γ = 90.00°
With the nearest neighbours (Å) after each atom.
Space group P4/mmm (No. 123)
Unique sites:
Cd (0.0000, 0.0000, 0.0000) [1 per cell]  4 I 3.55, 8 Sb 3.81
Sb (0.0000, 0.5000, 0.5000) [2 per cell]  2 Os 2.51
Os (0.5000, 0.5000, 0.5000) [1 per cell]  4 Sb 2.51
I (0.5000, 0.5000, 0.0000) [1 per cell]  2 Os 2.87

Computed properties:
Total energy   -42.13 eV/atom
Fermi-level density of states   3.94 states/eV/cell

***

Entry 2:
A plane-wave DFT calculation with meta-GGA SCAN was carried out for Cd2P3I at its PBEsol-relaxed geometry.

a = 8.2102 Å, b = 9.2491 Å, c = 7.4615 Å
α = 90.00°, β = 99.76°, γ = 90.00°
With the nearest neighbours (Å) after each atom.
Space group C2/c (No. 15)
Unique sites:
Cd (0.2487, 0.1446, 0.2148) [8 per cell]  3 P 2.57-2.63
P (0.0000, 0.3037, 0.2500) [4 per cell]  2 P 2.20
P (0.1131, 0.4543, 0.4643) [8 per cell]  2 P 2.19-2.20
I (0.0000, 0.1198, 0.7500) [4 per cell]  4 Cd 2.98-3.22

Computed properties:
Total energy   -21.74 eV/atom
Fermi-level density of states   0.00 states/eV/cell

***

Entry 3:
A plane-wave DFT calculation with meta-GGA SCAN was carried out for CdPb3I at its PBEsol-relaxed geometry.

a = 5.8967 Å, b = 5.8967 Å, c = 5.8967 Å
α = 90.00°, β = 90.00°, γ = 90.00°
With the nearest neighbours (Å) after each atom.
Space group Pm-3m (No. 221)
Unique sites:
Cd (0.0000, 0.0000, 0.0000) [1 per cell]  12 Pb 4.17
Pb (0.0000, 0.5000, 0.5000) [3 per cell]  2 I 2.95
I (0.5000, 0.5000, 0.5000) [1 per cell]  6 Pb 2.95

Computed properties:
Total energy   -58.11 eV/atom
Fermi-level density of states   4.14 states/eV/cell

***

Entry 4:
A plane-wave DFT calculation with meta-GGA SCAN was carried out for CdSb2PbI at its PBEsol-relaxed geometry.

a = 5.7708 Å, b = 5.7708 Å, c = 5.9939 Å
α = 90.00°, β = 90.00°, γ = 90.00°
With the nearest neighbours (Å) after each atom.
Space group P4/mmm (No. 123)
Unique sites:
Cd (0.0000, 0.0000, 0.0000) [1 per cell]  4 I 4.08, 8 Sb 4.16
Sb (0.0000, 0.5000, 0.5000) [2 per cell]  2 Pb 2.89
Pb (0.5000, 0.5000, 0.5000) [1 per cell]  4 Sb 2.89, 2 I 3.00
I (0.5000, 0.5000, 0.0000) [1 per cell]  2 Pb 3.00

Computed properties:
Total energy   -42.80 eV/atom
Fermi-level density of states   4.57 states/eV/cell